This record from Alexandria via LeMat-Bulk describes an optimized crystal structure of YAsBr4. The functional is GGA-PBE.

Computed properties:
Energy ... -2.722 eV/atom
Density of states at the Fermi level ... 1.069 states/eV/atom

abc: 8.6287 8.6287 8.6287
angles: 90.00 90.00 90.00
Space group F-43m (No. 216)
Inequivalent atoms, fractional coordinates:
Y 0.0000 0.0000 0.0000 (multiplicity 4)
As 0.2500 0.2500 0.7500 (multiplicity 4)
Br 0.1248 0.1248 0.3752 (multiplicity 16)



This record from Alexandria via LeMat-Bulk describes an optimized crystal structure of YAs2Br. The functional is GGA-PBE.

Computed properties:
Relative energy among the computed polymorphs ... 862 meV/atom
Energy ... -4.376 eV/atom
Density of states at the Fermi level ... 0.803 states/eV/atom

abc: 3.5499 3.5499 27.0042
angles: 90.00 90.00 120.00
Space group R-3m (No. 166, hexagonal axes)
Inequivalent atoms, fractional coordinates:
Y 0.0000 0.0000 0.0000 (multiplicity 3)
As 0.0000 0.0000 0.2532 (multiplicity 6)
Br 0.0000 0.0000 0.5000 (multiplicity 3)



This record from Alexandria via LeMat-Bulk describes an optimized crystal structure of YAs2Br. The functional is GGA-PBE.

Computed properties:
Relative energy among the computed polymorphs ... 517 meV/atom
Energy ... -4.722 eV/atom
Density of states at the Fermi level ... 0.814 states/eV/atom

abc: 5.6786 8.9523 3.6671
angles: 90.00 90.00 90.00
Space group Cmmm (No. 65)
Inequivalent atoms, fractional coordinates:
Y 0.0000 0.0000 0.0000 (multiplicity 2)
As 0.2500 0.2500 0.5000 (multiplicity 4)
Br 0.0000 0.5000 0.0000 (multiplicity 2)



This record from Alexandria via LeMat-Bulk describes an optimized crystal structure of YAs2Br. The functional is GGA-PBE.

Computed properties:
Relative energy among the computed polymorphs ... 428 meV/atom
Energy ... -4.811 eV/atom
Density of states at the Fermi level ... 0.446 states/eV/atom

abc: 5.6578 8.4084 4.4737
angles: 90.00 111.19 90.00
Space group C2/m (No. 12)
Inequivalent atoms, fractional coordinates:
Y 0.0000 0.0000 0.0000 (multiplicity 2)
As 0.2500 0.2500 0.5000 (multiplicity 4)
Br 0.0000 0.5000 0.0000 (multiplicity 2)



This record from Alexandria via LeMat-Bulk describes an optimized crystal structure of Y6As5Br. The functional is GGA-PBE.

Computed properties:
Energy ... -6.849 eV/atom
Density of states at the Fermi level ... 0.220 states/eV/atom

abc: 7.1749 12.3994 7.1476
angles: 90.00 109.48 90.00
Space group C2/m (No. 12)
Inequivalent atoms, fractional coordinates:
Y 0.2342 0.0000 0.2584 (multiplicity 4)
Y 0.2365 0.1762 0.7394 (multiplicity 8)
As 0.0000 0.0000 0.5000 (multiplicity 2)
As 0.0000 0.1677 0.0000 (multiplicity 4)
As 0.0000 0.3398 0.5000 (multiplicity 4)
Br 0.0000 0.5000 0.0000 (multiplicity 2)



This record from Alexandria via LeMat-Bulk describes an optimized crystal structure of YAs2Br. The functional is GGA-PBE.

Computed properties:
Relative energy among the computed polymorphs ... 823 meV/atom
Energy ... -4.415 eV/atom
Density of states at the Fermi level ... 1.041 states/eV/atom

abc: 7.2159 7.2159 7.2159
angles: 90.00 90.00 90.00
Space group Fm-3m (No. 225)
Inequivalent atoms, fractional coordinates:
Y 0.0000 0.0000 0.0000 (multiplicity 4)
As 0.2500 0.2500 0.2500 (multiplicity 8)
Br 0.0000 0.0000 0.5000 (multiplicity 4)



This record from Alexandria via LeMat-Bulk describes an optimized crystal structure of YAs2Br. The functional is GGA-PBE.

Computed properties:
Relative energy among the computed polymorphs ... 517 meV/atom
Energy ... -4.721 eV/atom
Density of states at the Fermi level ... 0.698 states/eV/atom

abc: 4.2068 4.2068 10.3276
angles: 90.00 90.00 90.00
Space group I-4m2 (No. 119)
Inequivalent atoms, fractional coordinates:
Y 0.0000 0.0000 0.0000 (multiplicity 2)
As 0.0000 0.0000 0.5000 (multiplicity 2)
As 0.0000 0.5000 0.7500 (multiplicity 2)
Br 0.0000 0.5000 0.2500 (multiplicity 2)



This record from Alexandria via LeMat-Bulk describes an optimized crystal structure of YAsBr3. The functional is GGA-PBE.

Computed properties:
Relative energy among the computed polymorphs ... 798 meV/atom
Energy ... -3.245 eV/atom
Density of states at the Fermi level ... 1.413 states/eV/atom

abc: 5.3932 5.3932 5.3932
angles: 90.00 90.00 90.00
Space group Pm-3m (No. 221)
Inequivalent atoms, fractional coordinates:
Y 0.0000 0.0000 0.0000 (multiplicity 1)
As 0.5000 0.5000 0.5000 (multiplicity 1)
Br 0.0000 0.5000 0.5000 (multiplicity 3)



no.,E_form (uncorrected) (meV/atom)
1,245.5
2,-17.2
3,-362.9
4,-451.6
5,-1540.0
6,-56.3
7,-362.4
8,-18.7